No. 1
Compound: Cr3SbRh
Source: the Alexandria database
Functional: GGA-PBE
Structure: optimized geometry

```
Cr3SbRh
1.0
4.755 0.000 0.000
0.000 4.755 0.000
0.000 0.000 4.755
Cr Sb Rh
3 1 1
Direct
0.000 0.000 0.500 Cr
0.000 0.500 0.000 Cr
0.500 0.000 0.000 Cr
0.500 0.500 0.500 Sb
0.000 0.000 0.000 Rh
```

Properties
The total energy is -7.076 eV per atom. Its symmetry is No. 221. The calculation puts the uncorrected formation energy at 0.99 eV per atom.

No. 2
Compound: CrSb2Rh
Source: the Alexandria database
Functional: GGA-PBE
Structure: optimized geometry

```
CrSb2Rh
1.0
4.000 0.000 0.000
0.000 1.839 5.196
0.000 -1.839 5.196
Cr Sb Rh
1 2 1
Direct
0.000 0.000 0.000 Cr
0.000 0.267 0.267 Sb
0.500 0.559 0.559 Sb
0.500 0.827 0.827 Rh
```

Properties
The total energy is -6.358 eV per atom. Its symmetry is No. 38. The calculation puts the uncorrected formation energy at -0.05 eV per atom.

Q: Which value of total energy does entry 1 give?
A: -7.076 eV per atom